1.
The following is a GGA-PBE calculation of crystalline SrPrTe at its relaxed geometry, from the Alexandria database.

Lattice parameters (Å, degrees): 8.3946 12.1839 7.7196 142.11 90.00 90.00
Fractional coordinates of all 12 atoms:
Sr 0.5000 0.2971 0.5942
Sr 0.0000 0.7971 0.5942
Sr 0.5000 0.7029 0.4058
Sr 0.0000 0.2029 0.4058
Pr 0.8466 0.3010 0.0000
Pr 0.1534 0.6990 0.0000
Pr 0.3466 0.1990 0.0000
Pr 0.6534 0.8010 0.0000
Te 0.6952 0.0692 0.0000
Te 0.1952 0.4308 0.0000
Te 0.8048 0.5692 0.0000
Te 0.3048 0.9308 0.0000

Values from the calculation:
Total DFT energy (no corrections)   -3.937 eV/atom
Energy relative to the elements, uncorrected   -213 kJ/mol of formula units
Space-group type   Cmce
Density   4878 kg/m³
Size of the total moment   4.10 μB/cell
DOS at the Fermi energy   3.29 states/eV/f.u.


2.
The following is a GGA-PBE calculation of crystalline Li2PuHg4 at its relaxed geometry, from the Alexandria database.

Lattice parameters (Å, degrees): 4.8587 4.8587 7.1556 90.00 90.00 90.00
Fractional coordinates of all 7 atoms:
Li 0.5000 0.5000 0.5000
Li 0.0000 0.0000 0.0000
Pu 0.5000 0.5000 0.0000
Hg 0.0000 0.5000 0.2855
Hg 0.5000 0.0000 0.2855
Hg 0.0000 0.5000 0.7145
Hg 0.5000 0.0000 0.7145

Values from the calculation:
Total DFT energy (no corrections)   -2.913 eV/atom
Space-group type   P4/mmm
Density   10422 kg/m³
ΔH_f (0 K)   -146 meV per atom
Size of the total moment   6.40 μB/cell
DOS at the Fermi energy   15.02 states/eV/f.u.